Entry 1:
Below is a geometry-optimized MgZn2 structure, with properties calculated at the PBE level.

a b c (Å): 5.368 5.368 5.368
angles (deg): 113.07 113.07 102.49
Element x y z (fractional)
Mg 0.250 0.250 0.000
Mg 0.750 0.750 0.000
Zn 0.345 0.155 0.500
Zn 0.845 0.345 0.191
Zn 0.155 0.655 0.809
Zn 0.655 0.845 0.500

Properties
DOS at the Fermi energy in states/eV per atom: 0.294
Space group: I4/mcm (140)
Energy of formation from the pure elements in meV/atom: 165


Entry 2:
Below is a geometry-optimized Mg3Zn structure, with properties calculated at the PBE level.

a b c (Å): 5.193 5.193 3.229
angles (deg): 90.00 90.00 108.04
Element x y z (fractional)
Zn 0.000 0.000 0.000
Mg 0.000 0.500 0.500
Mg 0.500 0.000 0.500
Mg 0.500 0.500 0.000

Properties
DOS at the Fermi energy in states/eV per atom: 0.574
Space group: Cmmm (65)
Energy of formation from the pure elements in meV/atom: 4


Entry 3:
Below is a geometry-optimized MgZn structure, with properties calculated at the PBE level.

a b c (Å): 5.194 5.194 5.194
angles (deg): 133.08 133.08 68.52
Element x y z (fractional)
Zn 0.000 0.000 0.000
Zn 0.750 0.250 0.500
Mg 0.250 0.750 0.500
Mg 0.500 0.500 0.000

Properties
DOS at the Fermi energy in states/eV per atom: 0.343
Space group: I4_1/amd (141)
Energy of formation from the pure elements in meV/atom: -29


Entry 4:
Below is a geometry-optimized Mg3Zn4 structure, with properties calculated at the PBE level.

a b c (Å): 11.282 11.282 11.282
angles (deg): 162.75 162.75 24.49
Element x y z (fractional)
Mg 0.000 0.000 0.000
Mg 0.295 0.295 0.000
Mg 0.705 0.705 0.000
Zn 0.132 0.132 0.000
Zn 0.427 0.427 0.000
Zn 0.573 0.573 0.000
Zn 0.868 0.868 0.000

Properties
Relative energy among the computed polymorphs in meV/atom: 0.0
DOS at the Fermi energy in states/eV per atom: 0.283
Space group: I4/mmm (139)
Energy of formation from the pure elements in meV/atom: -21


Entry 5:
Below is a geometry-optimized MgZn2 structure, with properties calculated at the PBE level.

a b c (Å): 5.608 5.608 10.469
angles (deg): 138.26 138.26 29.45
Element x y z (fractional)
Mg 0.686 0.686 0.321
Mg 0.759 0.759 0.068
Zn 0.940 0.940 0.956
Zn 0.101 0.101 0.719
Zn 0.344 0.344 0.669
Zn 0.504 0.504 0.433

Properties
DOS at the Fermi energy in states/eV per atom: 0.206
Space group: C2/m (12)
Energy of formation from the pure elements in meV/atom: -25


Entry 6:
Below is a geometry-optimized MgZn12 structure, with properties calculated at the PBE level.

a b c (Å): 5.252 6.784 6.784
angles (deg): 81.38 67.23 67.23
Element x y z (fractional)
Mg 0.000 0.000 0.000
Zn 0.500 0.000 0.500
Zn 0.000 0.000 0.500
Zn 0.500 0.500 0.000
Zn 0.000 0.500 0.000
Zn 0.000 0.650 0.350
Zn 0.000 0.350 0.650
Zn 0.650 0.350 0.350
Zn 0.350 0.650 0.650
Zn 0.500 0.216 0.784
Zn 0.500 0.784 0.216
Zn 0.716 0.784 0.784
Zn 0.284 0.216 0.216

Properties
Relative energy among the computed polymorphs in meV/atom: 0.0
DOS at the Fermi energy in states/eV per atom: 0.198
Space group: I4/mmm (139)
Energy of formation from the pure elements in meV/atom: 4


Entry 7:
Below is a geometry-optimized MgZn structure, with properties calculated at the PBE level.

a b c (Å): 4.751 4.751 5.433
angles (deg): 90.00 90.00 120.00
Element x y z (fractional)
Mg 0.333 0.667 0.250
Mg 0.667 0.333 0.750
Zn 0.333 0.667 0.750
Zn 0.667 0.333 0.250

Properties
DOS at the Fermi energy in states/eV per atom: 0.625
Space group: P6_3/mmc (194)
Energy of formation from the pure elements in meV/atom: 370


Entry 8:
Below is a geometry-optimized MgZn structure, with properties calculated at the PBE level.

a b c (Å): 3.142 3.142 8.884
angles (deg): 90.00 90.00 120.00
Element x y z (fractional)
Mg 0.000 0.000 0.479
Mg 0.333 0.667 0.771
Zn 0.000 0.000 0.017
Zn 0.333 0.667 0.233

Properties
DOS at the Fermi energy in states/eV per atom: 0.298
Space group: P-3m1 (164)
Energy of formation from the pure elements in meV/atom: 13


Entry 9:
Below is a geometry-optimized MgZn structure, with properties calculated at the PBE level.

a b c (Å): 5.028 5.506 10.778
angles (deg): 90.00 90.00 90.00
Element x y z (fractional)
Mg 0.322 0.315 0.074
Mg 0.822 0.185 0.926
Mg 0.678 0.815 0.426
Mg 0.178 0.685 0.574
Mg 0.321 0.024 0.793
Mg 0.821 0.476 0.207
Mg 0.679 0.524 0.707
Mg 0.179 0.976 0.293
Zn 0.650 0.683 0.958
Zn 0.150 0.817 0.042
Zn 0.350 0.183 0.542
Zn 0.850 0.317 0.458
Zn 0.187 0.532 0.841
Zn 0.687 0.968 0.159
Zn 0.813 0.032 0.659
Zn 0.313 0.468 0.341

Properties
DOS at the Fermi energy in states/eV per atom: 0.399
Space group: P2_12_12_1 (19)
Energy of formation from the pure elements in meV/atom: -31


Entry 10:
Below is a geometry-optimized MgZn2 structure, with properties calculated at the PBE level.

a b c (Å): 5.740 5.740 6.590
angles (deg): 75.58 75.58 29.05
Element x y z (fractional)
Mg 0.523 0.523 0.216
Mg 0.477 0.477 0.784
Zn 0.804 0.804 0.134
Zn 0.154 0.154 0.467
Zn 0.846 0.846 0.533
Zn 0.196 0.196 0.866

Properties
DOS at the Fermi energy in states/eV per atom: 0.271
Space group: C2/m (12)
Energy of formation from the pure elements in meV/atom: -53


Entry 11:
Below is a geometry-optimized MgZn5 structure, with properties calculated at the PBE level.

a b c (Å): 9.686 9.686 9.424
angles (deg): 65.21 65.21 29.51
Element x y z (fractional)
Mg 0.529 0.529 0.807
Mg 0.718 0.718 0.629
Mg 0.282 0.282 0.371
Mg 0.471 0.471 0.193
Zn 0.029 0.029 0.317
Zn 0.205 0.205 0.143
Zn 0.795 0.795 0.857
Zn 0.971 0.971 0.683
Zn 0.000 0.000 0.000
Zn 0.252 0.252 0.756
Zn 0.500 0.500 0.500
Zn 0.748 0.748 0.244
Zn 0.879 0.384 0.972
Zn 0.375 0.879 0.473
Zn 0.384 0.879 0.972
Zn 0.879 0.375 0.473
Zn 0.616 0.616 0.224
Zn 0.122 0.122 0.722
Zn 0.625 0.121 0.527
Zn 0.121 0.616 0.028
Zn 0.121 0.625 0.527
Zn 0.616 0.121 0.028
Zn 0.878 0.878 0.278
Zn 0.384 0.384 0.776

Properties
DOS at the Fermi energy in states/eV per atom: 0.241
Space group: C2/m (12)
Energy of formation from the pure elements in meV/atom: -30


Entry 12:
Below is a geometry-optimized MgZn2 structure, with properties calculated at the PBE level.

a b c (Å): 7.639 7.639 4.324
angles (deg): 90.00 90.00 155.49
Element x y z (fractional)
Mg 0.108 0.892 0.500
Mg 0.789 0.211 0.500
Zn 0.986 0.014 0.000
Zn 0.335 0.665 0.000
Zn 0.669 0.331 0.000
Zn 0.446 0.554 0.500

Properties
DOS at the Fermi energy in states/eV per atom: 0.315
Space group: Amm2 (38)
Energy of formation from the pure elements in meV/atom: -5


Entry 13:
Below is a geometry-optimized MgZn structure, with properties calculated at the PBE level.

a b c (Å): 7.652 7.652 4.737
angles (deg): 90.00 90.00 156.32
Element x y z (fractional)
Mg 0.333 0.667 0.000
Mg 0.457 0.543 0.500
Mg 0.767 0.233 0.500
Zn 0.007 0.993 0.000
Zn 0.658 0.342 0.000
Zn 0.111 0.889 0.500

Properties
DOS at the Fermi energy in states/eV per atom: 0.391
Space group: Amm2 (38)
Energy of formation from the pure elements in meV/atom: -2


Entry 14:
Below is a geometry-optimized Mg3Zn structure, with properties calculated at the PBE level.

a b c (Å): 4.338 4.338 4.338
angles (deg): 90.00 90.00 90.00
Element x y z (fractional)
Zn 0.000 0.000 0.000
Mg 0.500 0.500 0.000
Mg 0.500 0.000 0.500
Mg 0.000 0.500 0.500

Properties
DOS at the Fermi energy in states/eV per atom: 0.448
Space group: Pm-3m (221)
Energy of formation from the pure elements in meV/atom: -21


Entry 15:
Below is a geometry-optimized MgZn5 structure, with properties calculated at the PBE level.

a b c (Å): 5.159 5.159 5.159
angles (deg): 60.00 60.00 60.00
Element x y z (fractional)
Mg 0.000 0.000 0.000
Zn 0.124 0.625 0.625
Zn 0.250 0.250 0.250
Zn 0.625 0.124 0.625
Zn 0.625 0.625 0.124
Zn 0.625 0.625 0.625

Properties
DOS at the Fermi energy in states/eV per atom: 0.445
Space group: F-43m (216)
Energy of formation from the pure elements in meV/atom: -10


Entry 16:
Below is a geometry-optimized Mg2Zn11 structure, with properties calculated at the PBE level.

a b c (Å): 8.532 8.532 8.532
angles (deg): 90.00 90.00 90.00
Element x y z (fractional)
Mg 0.802 0.000 0.500
Mg 0.198 0.000 0.500
Mg 0.500 0.802 0.000
Mg 0.500 0.198 0.000
Mg 0.000 0.500 0.198
Mg 0.000 0.500 0.802
Zn 0.000 0.843 0.266
Zn 0.000 0.157 0.266
Zn 0.000 0.843 0.734
Zn 0.000 0.157 0.734
Zn 0.734 0.000 0.157
Zn 0.734 0.000 0.843
Zn 0.266 0.000 0.157
Zn 0.266 0.000 0.843
Zn 0.843 0.734 0.000
Zn 0.157 0.734 0.000
Zn 0.843 0.266 0.000
Zn 0.157 0.266 0.000
Zn 0.718 0.718 0.282
Zn 0.282 0.282 0.282
Zn 0.282 0.718 0.718
Zn 0.718 0.282 0.718
Zn 0.282 0.282 0.718
Zn 0.718 0.718 0.718
Zn 0.718 0.282 0.282
Zn 0.282 0.718 0.282
Zn 0.731 0.500 0.500
Zn 0.269 0.500 0.500
Zn 0.500 0.731 0.500
Zn 0.500 0.269 0.500
Zn 0.500 0.500 0.269
Zn 0.500 0.500 0.731
Zn 0.660 0.500 0.000
Zn 0.340 0.500 0.000
Zn 0.000 0.660 0.500
Zn 0.000 0.340 0.500
Zn 0.500 0.000 0.340
Zn 0.500 0.000 0.660
Zn 0.000 0.000 0.000

Properties
DOS at the Fermi energy in states/eV per atom: 0.284
Space group: Pm-3 (200)
Energy of formation from the pure elements in meV/atom: -56


Entry 17:
Below is a geometry-optimized MgZn structure, with properties calculated at the PBE level.

a b c (Å): 5.338 5.338 5.338
angles (deg): 48.51 48.51 48.51
Element x y z (fractional)
Zn 0.319 0.319 0.319
Zn 0.681 0.681 0.681
Mg 0.105 0.105 0.105
Mg 0.895 0.895 0.895

Properties
DOS at the Fermi energy in states/eV per atom: 0.264
Space group: R-3m (166)
Energy of formation from the pure elements in meV/atom: -39


Entry 18:
Below is a geometry-optimized MgZn structure, with properties calculated at the PBE level.

a b c (Å): 2.992 2.992 10.330
angles (deg): 90.00 90.00 120.00
Element x y z (fractional)
Mg 0.333 0.667 0.322
Mg 0.667 0.333 0.822
Zn 0.333 0.667 0.049
Zn 0.667 0.333 0.549

Properties
DOS at the Fermi energy in states/eV per atom: 0.272
Space group: P6_3mc (186)
Energy of formation from the pure elements in meV/atom: 137


Entry 19:
Below is a geometry-optimized MgZn2 structure, with properties calculated at the PBE level.

a b c (Å): 4.669 4.669 2.952
angles (deg): 90.00 90.00 90.00
Element x y z (fractional)
Mg 0.000 0.000 0.000
Zn 0.000 0.500 0.500
Zn 0.500 0.000 0.500

Properties
DOS at the Fermi energy in states/eV per atom: 0.679
Space group: P4/mmm (123)
Energy of formation from the pure elements in meV/atom: 203


Entry 20:
Below is a geometry-optimized MgZn2 structure, with properties calculated at the PBE level.

a b c (Å): 5.505 5.505 6.831
angles (deg): 84.86 84.86 30.74
Element x y z (fractional)
Mg 0.974 0.974 0.631
Mg 0.245 0.245 0.941
Zn 0.966 0.966 0.044
Zn 0.605 0.605 0.275
Zn 0.338 0.338 0.334
Zn 0.705 0.705 0.608

Properties
DOS at the Fermi energy in states/eV per atom: 0.209
Space group: Cm (8)
Energy of formation from the pure elements in meV/atom: -22